Record 1
5
Lattice="5.6674 0.0000 0.0000 0.0000 5.7851 0.0000 0.0000 0.0000 5.7851" Properties=species:S:1:pos:R:3 comment="SCAN YScTe2I, PBEsol geometry" volume_a3_per_cell=189.7 formation_energy_uncorrected_ev_per_atom=-0.513 pbc="T T T"
Te 0.0000 2.8925 0.0000
Te 0.0000 0.0000 2.8925
I 2.8337 0.0000 0.0000
Sc 2.8337 2.8925 2.8925
Y 0.0000 0.0000 0.0000

Record 2
5
Lattice="5.2956 0.0000 0.0000 0.0000 5.2956 0.0000 0.0000 0.0000 5.4090" Properties=species:S:1:pos:R:3 comment="SCAN ScZnTeI2, PBEsol geometry" volume_a3_per_cell=151.7 formation_energy_uncorrected_ev_per_atom=-0.030 pbc="T T T"
I 2.6478 0.0000 0.0000
I 0.0000 2.6478 0.0000
Te 0.0000 0.0000 2.7045
Zn 0.0000 0.0000 0.0000
Sc 2.6478 2.6478 2.7045

Record 3
5
Lattice="4.8270 0.0000 0.0000 0.0000 4.8270 0.0000 0.0000 0.0000 5.5000" Properties=species:S:1:pos:R:3 comment="SCAN ScTi2TlI, PBEsol geometry" volume_a3_per_cell=128.1 formation_energy_uncorrected_ev_per_atom=1.047 pbc="T T T"
Ti 0.0000 2.4135 0.0000
Ti 2.4135 0.0000 0.0000
I 2.4135 2.4135 2.7500
Tl 0.0000 0.0000 2.7500
Sc 0.0000 0.0000 0.0000

Record 4
5
Lattice="-1.2550 3.7997 -4.2753 -5.3747 -2.2807 -0.4492 -1.9566 3.8277 3.9763" Properties=species:S:1:pos:R:3 comment="SCAN YScI3, PBEsol geometry" volume_a3_per_cell=200.8 formation_energy_uncorrected_ev_per_atom=-0.447 pbc="T T T"
Sc -4.2932 2.6733 -0.3741
I -0.9783 1.9139 1.9881
I -0.6275 1.8998 -2.1376
I -2.6873 -1.1404 -0.2246
Y 0.0000 0.0000 0.0000